[1]
Density functional theory data (PBE-GGA) for crystalline DyCdPd at its relaxed geometry.

Geometry as POSCAR:
```
DyCdPd
1.0
3.831 0.000 0.000
0.000 7.759 0.000
0.000 0.000 13.347
Dy Cd Pd
6 6 6
direct
0.000 0.228 0.953
0.000 0.772 0.047
0.000 0.228 0.547
0.000 0.772 0.453
0.000 0.172 0.250
0.000 0.828 0.750
0.500 0.436 0.109
0.500 0.564 0.891
0.500 0.436 0.391
0.500 0.564 0.609
0.500 0.812 0.250
0.500 0.188 0.750
0.500 0.064 0.097
0.500 0.936 0.903
0.500 0.064 0.403
0.500 0.936 0.597
0.000 0.552 0.250
0.000 0.448 0.750
```

* formation energy: -0.6753 eV per atom
* total moment: 0.0 μB per cell
* crystal system: orthorhombic
* SG: No. 51

***

[2]
Density functional theory data (PBE-GGA) for crystalline K2Er2SbSe6 at its relaxed geometry.

Geometry as POSCAR:
```
K2Er2SbSe6
1.0
-5.803 -1.349 -3.893
6.459 -1.476 -2.600
-0.621 -6.322 5.272
K Er Sb Se
2 2 1 6
direct
0.833 0.167 0.000
0.167 0.833 0.000
0.332 0.668 0.500
0.668 0.332 0.500
0.000 0.000 0.500
0.738 0.738 0.698
0.067 0.395 0.699
0.262 0.262 0.302
0.395 0.067 0.699
0.933 0.605 0.301
0.605 0.933 0.301
```

* DFT total energy: -4.604 eV per atom
* total moment: 0.0 μB per cell
* crystal system: monoclinic
* SG: No. 12

***

[3]
Density functional theory data (PBE-GGA) for crystalline TcP4Pb at its relaxed geometry.

Geometry as POSCAR:
```
TcP4Pb
1.0
0.000 3.762 3.762
3.762 0.000 3.762
3.762 3.762 0.000
Tc P Pb
1 4 1
direct
0.000 0.000 0.000
0.911 0.363 0.363
0.363 0.363 0.911
0.363 0.911 0.363
0.363 0.363 0.363
0.750 0.750 0.750
```

* formation energy: 0.8393 eV per atom
* total moment: 2.3 μB per cell
* crystal system: cubic
* SG: No. 216

***

[4]
Density functional theory data (PBE-GGA) for crystalline YTcSe2 at its relaxed geometry.

Geometry as POSCAR:
```
YTcSe2
1.0
6.899 -3.958 3.019
7.456 -3.959 -1.053
8.406 -0.622 1.151
Y Tc Se
1 1 2
direct
0.500 0.500 0.500
0.000 0.000 0.000
0.898 0.898 0.898
0.102 0.102 0.102
```

* total moment: 4.0 μB per cell
* crystal system: trigonal
* relative energy among the computed polymorphs: 455.0 meV/atom
* SG: No. 166

***

[5]
Density functional theory data (PBE-GGA) for crystalline ZrSeSBr2 at its relaxed geometry.

Geometry as POSCAR:
```
ZrSeSBr2
1.0
5.379 0.000 0.000
0.000 5.379 0.000
0.000 0.000 5.205
S Se Br Zr
1 1 2 1
direct
0.500 0.500 0.500
0.000 0.000 0.500
0.000 0.500 0.000
0.500 0.000 0.000
0.000 0.000 0.000
```

* total moment: 2.1 μB per cell
* crystal system: tetragonal
* relative energy among the computed polymorphs: 0.0 meV/atom
* SG: No. 123

***

[6]
Density functional theory data (PBE-GGA) for crystalline La8Ge3I4F at its relaxed geometry.

Geometry as POSCAR:
```
La8Ge3I4F
1.0
8.669 0.000 0.000
0.000 9.281 0.427
-4.335 -4.331 6.134
La Ge I F
8 3 4 1
direct
0.228 0.698 0.970
0.228 0.698 0.456
0.265 0.294 0.529
0.742 0.698 0.970
0.258 0.302 0.030
0.735 0.706 0.471
0.772 0.302 0.544
0.772 0.302 0.030
0.500 0.500 0.000
0.500 0.500 0.500
0.000 0.500 0.500
0.500 0.000 0.000
0.500 0.000 0.500
0.000 0.000 0.000
0.000 0.000 0.500
0.000 0.500 0.000
```

* DFT total energy: -5.055 eV per atom
* total moment: 0.0 μB per cell
* crystal system: trigonal
* SG: No. 166

***

[7]
Density functional theory data (PBE-GGA) for crystalline K4BaEu at its relaxed geometry.

Geometry as POSCAR:
```
K4BaEu
1.0
-5.322 -1.086 -6.112
-1.584 -7.535 -2.752
-7.268 -3.446 1.471
Eu K Ba
1 4 1
direct
0.250 0.250 0.250
0.625 0.625 0.126
0.625 0.126 0.625
0.625 0.625 0.625
0.126 0.625 0.625
0.000 0.000 0.000
```

* formation energy: 0.1739 eV per atom
* total moment: 8.0 μB per cell
* crystal system: cubic
* SG: No. 216

***

[8]
Density functional theory data (PBE-GGA) for crystalline Na2PuCoH8 at its relaxed geometry.

Geometry as POSCAR:
```
Na2PuCoH8
1.0
-0.236 -1.486 -4.400
-1.557 -2.699 3.452
-5.464 2.463 -0.539
Na Pu Co H
2 1 1 8
direct
0.667 0.333 0.132
0.333 0.667 0.868
0.000 0.000 0.500
0.000 0.000 0.000
0.850 0.700 0.840
0.300 0.150 0.840
0.850 0.150 0.840
0.150 0.300 0.160
0.700 0.850 0.160
0.150 0.850 0.160
0.667 0.333 0.496
0.333 0.667 0.504
```

* DFT total energy: -4.417 eV per atom
* total moment: 5.0 μB per cell
* crystal system: trigonal
* SG: No. 164

***

[9]
Density functional theory data (PBE-GGA) for crystalline Sm2ErC at its relaxed geometry.

Geometry as POSCAR:
```
Sm2ErC
1.0
-1.711 2.684 -1.653
0.471 0.531 -3.515
-7.942 -4.907 -3.635
C Sm Er
1 2 1
direct
0.500 0.500 0.500
0.119 0.119 0.642
0.881 0.881 0.358
0.000 0.000 0.000
```

* formation energy: 0.0299 eV per atom
* total moment: 0.0 μB per cell
* crystal system: trigonal
* SG: No. 166

***

[10]
Density functional theory data (PBE-GGA) for crystalline Ac3LaPr3 at its relaxed geometry.

Geometry as POSCAR:
```
Ac3LaPr3
1.0
-3.623 -3.813 3.299
-1.808 -5.577 -8.432
7.955 -2.305 6.073
Ac La Pr
6 2 6
direct
0.750 0.466 0.373
0.750 0.907 0.534
0.250 0.373 0.907
0.750 0.627 0.093
0.250 0.093 0.466
0.250 0.534 0.627
0.250 0.667 0.333
0.750 0.333 0.667
0.750 0.186 0.955
0.750 0.769 0.814
0.250 0.955 0.769
0.750 0.045 0.231
0.250 0.231 0.186
0.250 0.814 0.045
```

* formation energy: 0.0391 eV per atom
* total moment: 0.0 μB per cell
* crystal system: hexagonal
* SG: No. 176

***

[11]
Density functional theory data (PBE-GGA) for crystalline LiPr2Lu at its relaxed geometry.

Geometry as POSCAR:
```
LiPr2Lu
1.0
3.726 0.000 0.000
0.000 3.726 0.000
0.000 0.000 8.885
Pr Lu Li
2 1 1
direct
0.000 0.000 0.768
0.000 0.000 0.232
0.500 0.500 0.500
0.500 0.500 0.000
```

* formation energy: 0.0712 eV per atom
* total moment: 0.5 μB per cell
* crystal system: tetragonal
* relative energy among the computed polymorphs: 0.0 meV/atom
* SG: No. 123

***

[12]
Density functional theory data (PBE-GGA) for crystalline La2Ge4IrAu3 at its relaxed geometry.

Geometry as POSCAR:
```
La2Ge4IrAu3
1.0
4.410 0.000 0.000
0.000 4.410 0.000
0.000 0.000 10.775
La Ge Ir Au
2 4 1 3
direct
0.500 0.000 0.262
0.000 0.500 0.738
0.500 0.500 0.000
0.000 0.000 0.000
0.500 0.000 0.625
0.000 0.500 0.375
0.500 0.500 0.500
0.000 0.000 0.500
0.500 0.000 0.861
0.000 0.500 0.139
```

* formation energy: -0.5946 eV per atom
* total moment: 0.0 μB per cell
* crystal system: tetragonal
* SG: No. 115

***

| no. | N(E_F) (states/eV per cell) |
| --- | --- |
| 1 | 14.1 |
| 2 | 4.1 |
| 3 | 3.8 |
| 4 | 1.3 |
| 5 | 2.7 |
| 6 | 10.7 |
| 7 | 6.7 |
| 8 | 7.1 |
| 9 | 4.1 |
| 10 | 24.8 |
| 11 | 7.1 |
| 12 | 6.2 |